Compound: TbSmIn
Source: Alexandria via LeMat-Bulk
Functional: GGA-PBE
Structure: optimized geometry

Properties
The value obtained for the total magnetic moment is 0.0 μB per cell. As for the symmetry: I4mm. As for the formation energy: -0.302 eV per atom.

Cell lengths 3.589, 3.589, 7.405 Å; angles 104.03, 104.03, 90.00 degrees
Sites, in units of the cell vectors:
In 0.948 0.948 0.896
Sm 0.606 0.606 0.211
Tb 0.297 0.297 0.593